Entry 1:
The following is a PBE calculation of crystalline Li4Ti3AlS8 at its relaxed geometry, from the Alexandria database.

The calculated total energy is -5.592 eV per atom. Its density of states at the Fermi level is 0.4428 states/eV per atom. The calculation puts the formation energy from raw total energies at -1336 meV/atom.

Cell: 7.0464 7.2985 7.0464 Å, 118.87 120.00 90.00°
With the nearest neighbours (Å) after each atom.
Element x y z (fractional)
Li 0.5000 0.0000 0.0000  6 S 2.64
Li 0.5000 0.0000 0.5000  6 S 2.58-2.59
Li 0.0000 0.0000 0.0000  6 S 2.58-2.59
Li 0.0000 0.0000 0.5000  6 S 2.58-2.59
S 0.2543 0.2628 0.5085  3 Ti 2.49, 3 Li 2.58
S 0.7596 0.2693 0.0096  1 Al 2.44, 2 Ti 2.48, 3 Li 2.59-2.64
S 0.2404 0.7307 0.4808  1 Al 2.44, 2 Ti 2.48, 3 Li 2.59-2.64
S 0.7596 0.2693 0.5192  1 Al 2.44, 2 Ti 2.48, 3 Li 2.59-2.64
S 0.7500 0.7307 0.9904  1 Al 2.44, 2 Ti 2.48, 3 Li 2.59-2.64
S 0.7457 0.7372 0.4915  3 Ti 2.49, 3 Li 2.58
S 0.2404 0.7307 0.9904  1 Al 2.44, 2 Ti 2.48, 3 Li 2.59-2.64
S 0.2500 0.2693 0.0096  1 Al 2.44, 2 Ti 2.48, 3 Li 2.59-2.64
Al 0.0000 0.5000 0.0000  6 S 2.44
Ti 0.5000 0.5000 0.5000  6 S 2.48-2.49
Ti 0.5000 0.5000 0.0000  6 S 2.48-2.49
Ti 0.0000 0.5000 0.5000  6 S 2.48-2.49

Entry 2:
The following is a PBE calculation of crystalline Li3Ti3AlS8 at its relaxed geometry, from the Alexandria database.

The calculated total energy is -5.740 eV per atom. Its density of states at the Fermi level is 0.4252 states/eV per atom. The calculation puts the formation energy from raw total energies at -1327 meV/atom.

Cell: 6.9489 6.9517 7.3487 Å, 118.24 90.00 120.01°
With the nearest neighbours (Å) after each atom.
Element x y z (fractional)
Al 0.0000 0.0000 0.5000  6 S 2.42
S 0.2404 0.4806 0.7277  1 Al 2.42, 2 Ti 2.46, 2 Li 2.60
S 0.7453 0.4907 0.7357  3 Ti 2.47-2.48, 3 Li 2.58
S 0.2523 0.0121 0.2722  1 Al 2.42, 2 Ti 2.46, 2 Li 2.60
S 0.7477 0.9879 0.7278  1 Al 2.42, 2 Ti 2.46, 2 Li 2.60
S 0.2547 0.5093 0.2643  3 Ti 2.47-2.48, 3 Li 2.58
S 0.7596 0.5194 0.2723  1 Al 2.42, 2 Ti 2.46, 2 Li 2.60
S 0.2402 0.9880 0.7279  1 Al 2.42, 2 Ti 2.46, 2 Li 2.60
S 0.7598 0.0120 0.2721  1 Al 2.42, 2 Ti 2.46, 2 Li 2.60
Ti 0.5000 0.5000 0.5000  6 S 2.46-2.47
Ti 0.0000 0.5000 0.5000  6 S 2.46-2.48
Ti 0.5000 0.0000 0.5000  6 S 2.46-2.48
Li 0.5000 0.5000 0.0000  6 S 2.58-2.60
Li 0.0000 0.0000 0.0000  6 S 2.58-2.60
Li 0.0000 0.5000 0.0000  6 S 2.58-2.60

Entry 3:
The following is a PBE calculation of crystalline LiAl2TlS4 at its relaxed geometry, from the Alexandria database.

The calculated total energy is -4.455 eV per atom. Its density of states at the Fermi level is 0.0000 states/eV per atom. The calculation puts the formation energy from raw total energies at -921 meV/atom.

Cell: 5.3433 5.3433 7.7096 Å, 110.27 110.27 90.01°
With the nearest neighbours (Å) after each atom.
Element x y z (fractional)
Al 0.7500 0.2500 0.5001  4 S 2.30
Al 0.2500 0.7500 0.5001  4 S 2.30
S 0.4323 0.8751 0.3074  2 Al 2.30
S 0.5679 0.5679 0.6928  2 Al 2.30
S 0.8751 0.4323 0.3074  2 Al 2.30
S 0.1250 0.1250 0.6928  2 Al 2.30
Tl 0.0001 0.0001 0.0002  4 S 2.95
Li 0.4999 0.4999 0.9998  4 S 2.66

- Which value of calculated total energy does entry 1 give?
  -5.592 eV per atom

Copy entry 1 word for word.
The following is a PBE calculation of crystalline Li4Ti3AlS8 at its relaxed geometry, from the Alexandria database.

The calculated total energy is -5.592 eV per atom. Its density of states at the Fermi level is 0.4428 states/eV per atom. The calculation puts the formation energy from raw total energies at -1336 meV/atom.

Cell: 7.0464 7.2985 7.0464 Å, 118.87 120.00 90.00°
With the nearest neighbours (Å) after each atom.
Element x y z (fractional)
Li 0.5000 0.0000 0.0000  6 S 2.64
Li 0.5000 0.0000 0.5000  6 S 2.58-2.59
Li 0.0000 0.0000 0.0000  6 S 2.58-2.59
Li 0.0000 0.0000 0.5000  6 S 2.58-2.59
S 0.2543 0.2628 0.5085  3 Ti 2.49, 3 Li 2.58
S 0.7596 0.2693 0.0096  1 Al 2.44, 2 Ti 2.48, 3 Li 2.59-2.64
S 0.2404 0.7307 0.4808  1 Al 2.44, 2 Ti 2.48, 3 Li 2.59-2.64
S 0.7596 0.2693 0.5192  1 Al 2.44, 2 Ti 2.48, 3 Li 2.59-2.64
S 0.7500 0.7307 0.9904  1 Al 2.44, 2 Ti 2.48, 3 Li 2.59-2.64
S 0.7457 0.7372 0.4915  3 Ti 2.49, 3 Li 2.58
S 0.2404 0.7307 0.9904  1 Al 2.44, 2 Ti 2.48, 3 Li 2.59-2.64
S 0.2500 0.2693 0.0096  1 Al 2.44, 2 Ti 2.48, 3 Li 2.59-2.64
Al 0.0000 0.5000 0.0000  6 S 2.44
Ti 0.5000 0.5000 0.5000  6 S 2.48-2.49
Ti 0.5000 0.5000 0.0000  6 S 2.48-2.49
Ti 0.0000 0.5000 0.5000  6 S 2.48-2.49

- calculated total energy of number 1 (Li4Ti3AlS8)?
  -5.592 eV per atom

- Which formula does entry 2 have?
  Li3Ti3AlS8